This record from Alexandria via LeMat-Bulk describes an optimized crystal structure of SrLiOs2. The functional is PBE.

Summary:
SG: Fm-3m, No. 225
Energy of formation from the pure elements (eV/atom): 1.44
Excess energy over the best structure of this formula in the dataset (eV per formula unit): 5.05
DOS(E_F) (states/eV/atom): 1.36

Unit cell a=4.6862 b=4.6862 c=4.6862 alpha=60.00 beta=60.00 gamma=60.00
Fractional coordinates of all 4 atoms:
Sr1 0.0000 0.0000 0.0000
Li1 0.5000 0.5000 0.5000
Os1 0.2500 0.2500 0.2500
Os2 0.7500 0.7500 0.7500

This record from Alexandria via LeMat-Bulk describes an optimized crystal structure of SrLiOs2. The functional is PBE.

Summary:
SG: R3m, No. 160
Energy of formation from the pure elements (eV/atom): 0.17
Excess energy over the best structure of this formula in the dataset (eV per formula unit): 0.00
DOS(E_F) (states/eV/atom): 0.58

Unit cell a=6.0514 b=6.0514 c=6.0514 alpha=41.00 beta=41.00 gamma=41.00
Fractional coordinates of all 4 atoms:
Sr1 0.0000 0.0000 0.0000
Li1 0.7947 0.7947 0.7947
Os1 0.1991 0.1991 0.1991
Os2 0.5150 0.5150 0.5150

This record from Alexandria via LeMat-Bulk describes an optimized crystal structure of Sr2LiOs. The functional is PBE.

Summary:
SG: R3m, No. 160
Energy of formation from the pure elements (eV/atom): 0.47
DOS(E_F) (states/eV/atom): 1.24

Unit cell a=7.8815 b=7.8815 c=7.8815 alpha=32.36 beta=32.36 gamma=32.36
Fractional coordinates of all 4 atoms:
Sr1 0.0000 0.0000 0.0000
Sr2 0.1689 0.1689 0.1689
Li1 0.7514 0.7514 0.7514
Os1 0.4175 0.4175 0.4175

This record from Alexandria via LeMat-Bulk describes an optimized crystal structure of SrLi4Os. The functional is PBE.

Summary:
SG: F-43m, No. 216
Energy of formation from the pure elements (eV/atom): 0.39
DOS(E_F) (states/eV/atom): 0.05

Unit cell a=5.3127 b=5.3127 c=5.3127 alpha=60.00 beta=60.00 gamma=60.00
Fractional coordinates of all 6 atoms:
Sr1 0.0000 0.0000 0.0000
Li1 0.1411 0.6196 0.6196
Li2 0.6196 0.1411 0.6196
Li3 0.6196 0.6196 0.1411
Li4 0.6196 0.6196 0.6196
Os1 0.2500 0.2500 0.2500

This record from Alexandria via LeMat-Bulk describes an optimized crystal structure of SrLi2TeOs. The functional is PBE.

Summary:
SG: P4/mmm, No. 123
Formation energy without anion corrections (meV/atom): 1344
DOS(E_F) (states/eV/atom): 0.75

Unit cell a=5.2315 b=5.2315 c=4.8916 alpha=90.00 beta=90.00 gamma=90.00
Fractional coordinates of all 5 atoms:
Sr1 0.0000 0.0000 0.0000
Li1 0.0000 0.5000 0.0000
Li2 0.5000 0.0000 0.0000
Te1 0.5000 0.5000 0.5000
Os1 0.0000 0.0000 0.5000

This record from Alexandria via LeMat-Bulk describes an optimized crystal structure of SrLi2YOs. The functional is PBE.

Summary:
SG: P4/mmm, No. 123
Energy of formation from the pure elements (eV/atom): 1.99
DOS(E_F) (states/eV/atom): 1.20

Unit cell a=4.7616 b=4.7616 c=5.6910 alpha=90.00 beta=90.00 gamma=90.00
Fractional coordinates of all 5 atoms:
Sr1 0.0000 0.0000 0.0000
Li1 0.0000 0.5000 0.5000
Li2 0.5000 0.0000 0.5000
Y1 0.0000 0.0000 0.5000
Os1 0.5000 0.5000 0.0000

This record from Alexandria via LeMat-Bulk describes an optimized crystal structure of LiTa2Os. The functional is PBE.

Summary:
SG: P4/mmm, No. 123
Energy of formation from the pure elements (eV/atom): 0.02
DOS(E_F) (states/eV/atom): 0.83

Unit cell a=4.4487 b=4.4487 c=3.1855 alpha=90.00 beta=90.00 gamma=90.00
Fractional coordinates of all 4 atoms:
Li1 0.0000 0.0000 0.0000
Ta1 0.0000 0.5000 0.5000
Ta2 0.5000 0.0000 0.5000
Os1 0.5000 0.5000 0.0000

This record from Alexandria via LeMat-Bulk describes an optimized crystal structure of LiTa2Os. The functional is PBE.

Summary:
SG: C2/m, No. 12
Energy of formation from the pure elements (eV/atom): 0.13
DOS(E_F) (states/eV/atom): 0.80

Unit cell a=5.1879 b=5.1879 c=2.7348 alpha=99.38 beta=99.38 gamma=114.60
Fractional coordinates of all 4 atoms:
Li1 0.0000 0.0000 0.0000
Ta1 0.0000 0.5000 0.5000
Ta2 0.5000 0.0000 0.5000
Os1 0.5000 0.5000 0.0000

This record from Alexandria via LeMat-Bulk describes an optimized crystal structure of LiTa2Os. The functional is PBE.

Summary:
SG: P4mm, No. 99
Energy of formation from the pure elements (eV/atom): 0.07
DOS(E_F) (states/eV/atom): 0.47

Unit cell a=3.2157 b=3.2157 c=6.0344 alpha=90.00 beta=90.00 gamma=90.00
Fractional coordinates of all 4 atoms:
Li1 0.0000 0.0000 0.0000
Ta1 0.0000 0.0000 0.4541
Ta2 0.5000 0.5000 0.7545
Os1 0.5000 0.5000 0.2037

This record from Alexandria via LeMat-Bulk describes an optimized crystal structure of LiTa2Os. The functional is PBE.

Summary:
SG: Pm, No. 6
Energy of formation from the pure elements (eV/atom): 0.09
DOS(E_F) (states/eV/atom): 0.74

Unit cell a=2.7679 b=4.4762 c=5.2478 alpha=90.00 beta=100.07 gamma=90.00
Fractional coordinates of all 4 atoms:
Li1 0.0000 0.0000 0.0000
Ta1 0.3142 0.5000 0.7764
Ta2 0.5979 0.0000 0.4774
Os1 0.8414 0.5000 0.2652

This record from Alexandria via LeMat-Bulk describes an optimized crystal structure of Li2Ta2Os. The functional is PBE.

Summary:
SG: I4/mmm, No. 139
Energy of formation from the pure elements (eV/atom): 0.43
Excess energy over the best structure of this formula in the dataset (eV per formula unit): 0.00
DOS(E_F) (states/eV/atom): 1.29

Unit cell a=9.0191 b=9.0191 c=9.0191 alpha=160.74 beta=160.74 gamma=27.36
Fractional coordinates of all 5 atoms:
Li1 0.2500 0.7500 0.5000
Li2 0.7500 0.2500 0.5000
Ta1 0.0990 0.0990 0.0000
Ta2 0.9010 0.9010 0.0000
Os1 0.5000 0.5000 0.0000

This record from Alexandria via LeMat-Bulk describes an optimized crystal structure of LiTa2Os. The functional is PBE.

Summary:
SG: I-4m2, No. 119
Energy of formation from the pure elements (eV/atom): 0.15
DOS(E_F) (states/eV/atom): 0.73

Unit cell a=5.1144 b=5.1144 c=5.1144 alpha=136.16 beta=136.16 gamma=63.73
Fractional coordinates of all 4 atoms:
Li1 0.0000 0.0000 0.0000
Ta1 0.5000 0.5000 0.0000
Ta2 0.7500 0.2500 0.5000
Os1 0.2500 0.7500 0.5000

This record from Alexandria via LeMat-Bulk describes an optimized crystal structure of LiTa2Os. The functional is PBE.

Summary:
SG: P2/m, No. 10
Energy of formation from the pure elements (eV/atom): 0.11
DOS(E_F) (states/eV/atom): 0.73

Unit cell a=2.7984 b=4.2591 c=5.5241 alpha=90.00 beta=102.09 gamma=90.00
Fractional coordinates of all 4 atoms:
Li1 0.0000 0.0000 0.0000
Ta1 0.2394 0.5000 0.7403
Ta2 0.7606 0.5000 0.2597
Os1 0.5000 0.0000 0.5000

This record from Alexandria via LeMat-Bulk describes an optimized crystal structure of LiTaOs. The functional is PBE.

Summary:
SG: P3m1, No. 156
Energy of formation from the pure elements (eV/atom): -0.02
Excess energy over the best structure of this formula in the dataset (eV per formula unit): 0.00
DOS(E_F) (states/eV/atom): 0.57

Unit cell a=4.3615 b=4.3615 c=2.7262 alpha=90.00 beta=90.00 gamma=120.00
Fractional coordinates of all 3 atoms:
Li1 0.0000 0.0000 0.0000
Ta1 0.6667 0.3333 0.6331
Os1 0.3333 0.6667 0.3176

This record from Alexandria via LeMat-Bulk describes an optimized crystal structure of LiTa2Os. The functional is PBE.

Summary:
SG: Imm2, No. 44
Energy of formation from the pure elements (eV/atom): 0.06
DOS(E_F) (states/eV/atom): 0.78

Unit cell a=5.3371 b=5.3371 c=5.3371 alpha=145.68 beta=130.51 gamma=61.61
Fractional coordinates of all 4 atoms:
Li1 0.0000 0.0000 0.0000
Ta1 0.4657 0.4657 0.0000
Ta2 0.7293 0.2293 0.5000
Os1 0.2366 0.7366 0.5000

This record from Alexandria via LeMat-Bulk describes an optimized crystal structure of LiTaOs. The functional is PBE.

Summary:
SG: I4mm, No. 107
Energy of formation from the pure elements (eV/atom): 0.05
Excess energy over the best structure of this formula in the dataset (eV per formula unit): 0.20
DOS(E_F) (states/eV/atom): 0.28

Unit cell a=4.7861 b=4.7861 c=4.7861 alpha=139.93 beta=139.93 gamma=57.96
Fractional coordinates of all 3 atoms:
Li1 0.0000 0.0000 0.0000
Ta1 0.3178 0.3178 0.0000
Os1 0.6612 0.6612 0.0000

This record from Alexandria via LeMat-Bulk describes an optimized crystal structure of LiTaOs. The functional is PBE.

Summary:
SG: R3m, No. 160
Energy of formation from the pure elements (eV/atom): 0.32
Excess energy over the best structure of this formula in the dataset (eV per formula unit): 1.01
DOS(E_F) (states/eV/atom): 1.03

Unit cell a=14.8111 b=14.8111 c=14.8111 alpha=10.72 beta=10.72 gamma=10.72
Fractional coordinates of all 6 atoms:
Li1 0.0000 0.0000 0.0000
Li2 0.1178 0.1178 0.1178
Ta1 0.2225 0.2225 0.2225
Ta2 0.3920 0.3920 0.3920
Os1 0.8361 0.8361 0.8361
Os2 0.9418 0.9418 0.9418

This record from Alexandria via LeMat-Bulk describes an optimized crystal structure of LiTa2Os. The functional is PBE.

Summary:
SG: F-43m, No. 216
Energy of formation from the pure elements (eV/atom): 0.20
DOS(E_F) (states/eV/atom): 0.86

Unit cell a=4.4619 b=4.4619 c=4.4619 alpha=60.00 beta=60.00 gamma=60.00
Fractional coordinates of all 4 atoms:
Li1 0.0000 0.0000 0.0000
Ta1 0.5000 0.5000 0.5000
Ta2 0.7500 0.7500 0.7500
Os1 0.2500 0.2500 0.2500

This record from Alexandria via LeMat-Bulk describes an optimized crystal structure of LiTa3Os. The functional is PBE.

Summary:
SG: Pm-3m, No. 221
Energy of formation from the pure elements (eV/atom): 1.18
Excess energy over the best structure of this formula in the dataset (eV per formula unit): 0.21
DOS(E_F) (states/eV/atom): 1.22

Unit cell a=4.3343 b=4.3343 c=4.3343 alpha=90.00 beta=90.00 gamma=90.00
Fractional coordinates of all 5 atoms:
Li1 0.0000 0.0000 0.0000
Ta1 0.0000 0.0000 0.5000
Ta2 0.0000 0.5000 0.0000
Ta3 0.5000 0.0000 0.0000
Os1 0.5000 0.5000 0.5000

This record from Alexandria via LeMat-Bulk describes an optimized crystal structure of LiTaOs. The functional is PBE.

Summary:
SG: F-43m, No. 216
Energy of formation from the pure elements (eV/atom): 0.41
Excess energy over the best structure of this formula in the dataset (eV per formula unit): 1.26
DOS(E_F) (states/eV/atom): 0.30

Unit cell a=4.2383 b=4.2383 c=4.2383 alpha=60.00 beta=60.00 gamma=60.00
Fractional coordinates of all 3 atoms:
Li1 0.0000 0.0000 0.0000
Ta1 0.5000 0.5000 0.5000
Os1 0.7500 0.7500 0.7500